# Rb3Sb2Pt2

A relaxed Rb3Sb2Pt2 crystal (PBE, the Alexandria database).

```
Rb3Sb2Pt2
1.0
7.1352 0.0000 0.0000
0.0000 8.8394 0.0000
0.0000 0.0000 14.3033
Rb Sb Pt
12 8 8
direct
0.1244 0.1162 0.0976
0.1244 0.1162 0.4024
0.1244 0.3838 0.5976
0.1244 0.3838 0.9024
0.3022 0.6864 0.7500
0.3022 0.8136 0.2500
0.6978 0.1864 0.7500
0.6978 0.3136 0.2500
0.8756 0.6162 0.0976
0.8756 0.6162 0.4024
0.8756 0.8838 0.5976
0.8756 0.8838 0.9024
0.2277 0.0677 0.7500
0.2277 0.4323 0.2500
0.4068 0.7500 0.0000
0.4068 0.7500 0.5000
0.5932 0.2500 0.0000
0.5932 0.2500 0.5000
0.7723 0.5677 0.7500
0.7723 0.9323 0.2500
0.4057 0.0292 0.5880
0.4057 0.0292 0.9120
0.4057 0.4708 0.0880
0.4057 0.4708 0.4120
0.5943 0.5292 0.5880
0.5943 0.5292 0.9120
0.5943 0.9708 0.0880
0.5943 0.9708 0.4120
```

As for the total energy: -3.74 eV per atom. Its space-group type is No. 57. The value obtained for the energy relative to the elements, uncorrected is -426 meV/atom.